Record 1
The following is a DFT calculation (GGA-PBE) of an optimized crystal structure of Na5LiHg4.

Cell: 3.807 3.807 18.163 Å, 90.00 90.00 90.00°
Fractional positions:
Na  0.500  0.500  0.500
Na  0.500  0.500  0.702
Na  0.500  0.500  0.103
Na  0.500  0.500  0.897
Na  0.500  0.500  0.298
Hg  0.000  0.000  0.197
Hg  0.000  0.000  0.803
Hg  0.000  0.000  0.602
Hg  0.000  0.000  0.398
Li  0.000  0.000  0.000

Output
Crystal system: tetragonal
Spin magnetization (μB/f.u.): 0.000


Record 2
The following is a DFT calculation (GGA-PBE) of an optimized crystal structure of NaLi7Hg4.

Cell: 4.985 7.925 7.179 Å, 69.55 69.69 71.67°
Fractional positions:
Hg  0.313  0.336  0.037
Hg  0.687  0.664  0.963
Hg  0.440  0.738  0.383
Hg  0.560  0.262  0.617
Li  0.734  0.317  0.216
Li  0.500  0.000  0.000
Li  0.073  0.576  0.277
Li  0.266  0.683  0.784
Li  0.786  0.883  0.545
Li  0.927  0.424  0.723
Li  0.214  0.117  0.455
Na  0.000  0.000  0.000

Output
Crystal system: monoclinic
Spin magnetization (μB/f.u.): 0.000


Record 3
The following is a DFT calculation (GGA-PBE) of an optimized crystal structure of Na6LiHg.

Cell: 4.161 7.722 7.722 Å, 89.25 90.00 90.00°
Fractional positions:
Na  0.000  0.604  0.852
Na  0.500  0.897  0.639
Na  0.000  0.597  0.403
Na  0.500  0.887  0.113
Na  0.500  0.361  0.103
Na  0.000  0.148  0.396
Li  0.000  0.161  0.839
Hg  0.500  0.345  0.655

Output
Crystal system: orthorhombic
Spin magnetization (μB/f.u.): 0.000


Record 4
The following is a DFT calculation (GGA-PBE) of an optimized crystal structure of NaLi2Hg2.

Cell: 4.153 4.153 7.262 Å, 73.38 73.38 90.00°
Fractional positions:
Li  0.250  0.750  0.500
Li  0.750  0.250  0.500
Hg  0.389  0.389  0.221
Hg  0.611  0.611  0.779
Na  0.000  0.000  0.000

Output
Crystal system: tetragonal
Spin magnetization (μB/f.u.): 0.000


Record 5
The following is a DFT calculation (GGA-PBE) of an optimized crystal structure of Na16LiHg12.

Cell: 10.092 10.092 10.019 Å, 109.66 109.66 109.77°
Fractional positions:
Na  0.412  0.691  0.005
Na  0.305  0.716  0.303
Na  0.716  0.305  0.303
Na  0.311  0.311  0.720
Na  0.357  0.357  0.344
Na  0.590  0.279  0.591
Na  0.279  0.590  0.591
Na  0.691  0.412  0.005
Na  0.410  0.998  0.692
Na  0.992  0.671  0.996
Na  0.688  0.999  0.410
Na  0.997  0.997  0.662
Na  0.998  0.410  0.692
Na  0.671  0.992  0.996
Na  0.999  0.688  0.410
Na  0.011  0.011  0.008
Hg  0.792  0.792  0.193
Hg  0.188  0.998  0.373
Hg  0.375  0.003  0.194
Hg  0.805  0.617  0.605
Hg  0.199  0.379  0.003
Hg  0.617  0.805  0.605
Hg  0.379  0.199  0.003
Hg  0.630  0.630  0.821
Hg  0.003  0.375  0.194
Hg  0.176  0.805  0.806
Hg  0.998  0.188  0.373
Hg  0.805  0.176  0.806
Li  0.607  0.607  0.295

Output
Crystal system: monoclinic
Spin magnetization (μB/f.u.): 0.000


Record 6
The following is a DFT calculation (GGA-PBE) of an optimized crystal structure of NaLi4Hg4.

Cell: 4.980 8.564 8.564 Å, 90.00 90.00 90.00°
Fractional positions:
Li  0.500  0.151  0.446
Li  0.000  0.651  0.946
Li  0.500  0.849  0.554
Li  0.000  0.349  0.054
Li  0.000  0.946  0.349
Li  0.500  0.554  0.151
Li  0.500  0.446  0.849
Li  0.000  0.054  0.651
Hg  0.000  0.373  0.723
Hg  0.000  0.277  0.373
Hg  0.000  0.723  0.627
Hg  0.000  0.627  0.277
Hg  0.500  0.873  0.223
Hg  0.500  0.127  0.777
Hg  0.500  0.777  0.873
Hg  0.500  0.223  0.127
Na  0.000  0.000  0.000
Na  0.500  0.500  0.500

Output
Crystal system: tetragonal
Spin magnetization (μB/f.u.): 0.000


Record 7
The following is a DFT calculation (GGA-PBE) of an optimized crystal structure of NaLi3Hg10.

Cell: 9.869 9.869 9.869 Å, 60.00 60.00 60.00°
Fractional positions:
Hg  0.378  0.378  0.378
Hg  0.000  0.666  0.334
Hg  0.622  0.133  0.622
Hg  0.000  0.334  0.666
Hg  0.334  0.666  0.000
Hg  0.000  0.666  0.000
Hg  0.133  0.622  0.622
Hg  0.666  0.000  0.334
Hg  0.000  0.000  0.666
Hg  0.334  0.000  0.666
Hg  0.622  0.622  0.133
Hg  0.378  0.867  0.378
Hg  0.867  0.378  0.378
Hg  0.334  0.000  0.000
Hg  0.622  0.622  0.622
Hg  0.000  0.000  0.334
Hg  0.000  0.334  0.000
Hg  0.666  0.334  0.000
Hg  0.666  0.000  0.000
Hg  0.378  0.378  0.867
Na  0.250  0.250  0.250
Na  0.750  0.750  0.750
Li  0.277  0.723  0.277
Li  0.723  0.723  0.277
Li  0.723  0.277  0.277
Li  0.277  0.723  0.723
Li  0.277  0.277  0.723
Li  0.723  0.277  0.723

Output
Crystal system: cubic
Spin magnetization (μB/f.u.): 0.000


Record 8
The following is a DFT calculation (GGA-PBE) of an optimized crystal structure of Na3LiHg.

Cell: 5.124 6.740 8.580 Å, 106.33 90.02 90.02°
Fractional positions:
Na  0.542  0.026  0.639
Na  0.545  0.489  0.512
Na  0.044  0.168  0.376
Na  0.042  0.828  0.848
Na  0.543  0.186  0.060
Na  0.544  0.785  0.234
Li  0.044  0.503  0.113
Li  0.541  0.511  0.870
Hg  0.044  0.722  0.443
Hg  0.041  0.326  0.783

Output
Crystal system: triclinic
Spin magnetization (μB/f.u.): 0.000


Record 9
The following is a DFT calculation (GGA-PBE) of an optimized crystal structure of Na3Li2Hg5.

Cell: 3.726 11.342 11.342 Å, 90.00 90.00 90.00°
Fractional positions:
Na  0.000  0.825  0.675
Na  0.000  0.675  0.175
Na  0.000  0.325  0.825
Na  0.000  0.500  0.500
Na  0.000  0.000  0.000
Na  0.000  0.175  0.325
Hg  0.500  0.793  0.945
Hg  0.500  0.207  0.055
Hg  0.500  0.555  0.707
Hg  0.500  0.945  0.207
Hg  0.500  0.293  0.555
Hg  0.500  0.445  0.293
Hg  0.500  0.500  0.000
Hg  0.500  0.000  0.500
Hg  0.500  0.707  0.445
Hg  0.500  0.055  0.793
Li  0.000  0.375  0.125
Li  0.000  0.125  0.625
Li  0.000  0.875  0.375
Li  0.000  0.625  0.875

Output
Crystal system: tetragonal
Spin magnetization (μB/f.u.): 0.000


Record 10
The following is a DFT calculation (GGA-PBE) of an optimized crystal structure of Na3Li3Hg5.

Cell: 5.295 8.248 8.248 Å, 120.00 90.00 90.00°
Fractional positions:
Na  0.000  0.409  0.000
Na  0.000  0.000  0.409
Na  0.000  0.591  0.591
Hg  0.500  0.333  0.667
Hg  0.500  0.667  0.333
Hg  0.500  0.218  0.000
Hg  0.500  0.000  0.218
Hg  0.500  0.782  0.782
Li  0.500  0.000  0.623
Li  0.500  0.623  0.000
Li  0.500  0.377  0.377

Output
Crystal system: hexagonal
Spin magnetization (μB/f.u.): 0.000


Record 11
The following is a DFT calculation (GGA-PBE) of an optimized crystal structure of Na2LiHg2.

Cell: 3.819 6.277 6.277 Å, 67.26 72.29 72.29°
Fractional positions:
Hg  0.500  0.714  0.286
Hg  0.500  0.286  0.714
Li  0.000  0.000  0.000
Na  0.221  0.279  0.279
Na  0.779  0.721  0.721

Output
Crystal system: orthorhombic
Spin magnetization (μB/f.u.): 0.000


Record 12
The following is a DFT calculation (GGA-PBE) of an optimized crystal structure of Na2LiHg2.

Cell: 4.312 4.312 7.934 Å, 74.23 74.23 90.00°
Fractional positions:
Na  0.250  0.750  0.500
Na  0.750  0.250  0.500
Hg  0.403  0.403  0.193
Hg  0.597  0.597  0.807
Li  0.000  0.000  0.000

Output
Crystal system: tetragonal
Spin magnetization (μB/f.u.): 0.000


Record 13
The following is a DFT calculation (GGA-PBE) of an optimized crystal structure of Na3LiHg.

Cell: 5.783 5.783 5.783 Å, 90.00 90.00 90.00°
Fractional positions:
Na  0.000  0.500  0.000
Na  0.500  0.000  0.000
Na  0.000  0.000  0.500
Hg  0.000  0.000  0.000
Li  0.500  0.500  0.500

Output
Crystal system: cubic
Spin magnetization (μB/f.u.): 0.000


Record 14
The following is a DFT calculation (GGA-PBE) of an optimized crystal structure of NaLi2Hg9.

Cell: 3.361 9.978 9.978 Å, 120.00 90.00 90.00°
Fractional positions:
Hg  0.500  0.179  0.357
Hg  0.500  0.821  0.179
Hg  0.000  0.000  0.500
Hg  0.000  0.500  0.500
Hg  0.500  0.357  0.179
Hg  0.500  0.179  0.821
Hg  0.500  0.643  0.821
Hg  0.500  0.821  0.643
Hg  0.000  0.500  0.000
Li  0.000  0.333  0.667
Li  0.000  0.667  0.333
Na  0.000  0.000  0.000

Output
Crystal system: hexagonal
Spin magnetization (μB/f.u.): 0.000


Record 15
The following is a DFT calculation (GGA-PBE) of an optimized crystal structure of NaLi2Hg.

Cell: 3.393 3.393 9.881 Å, 80.12 80.12 60.00°
Fractional positions:
Na  0.500  0.500  0.500
Hg  0.667  0.667  0.000
Li  0.263  0.263  0.212
Li  0.071  0.071  0.788

Output
Crystal system: trigonal
Spin magnetization (μB/f.u.): 0.000


Record 16
The following is a DFT calculation (GGA-PBE) of an optimized crystal structure of NaLi4Hg.

Cell: 5.396 5.396 7.354 Å, 65.89 137.00 124.06°
Fractional positions:
Li  0.343  0.157  0.501
Li  0.657  0.843  0.499
Li  0.322  0.677  0.000
Li  0.678  0.323  0.000
Na  0.000  0.500  0.500
Hg  0.000  0.000  0.000

Output
Crystal system: monoclinic
Spin magnetization (μB/f.u.): 0.000


Record 17
The following is a DFT calculation (GGA-PBE) of an optimized crystal structure of NaLiHg.

Cell: 4.906 4.906 4.906 Å, 60.00 60.00 60.00°
Fractional positions:
Na  0.500  0.500  0.500
Li  0.000  0.000  0.000
Hg  0.250  0.250  0.250

Output
Crystal system: cubic
Spin magnetization (μB/f.u.): 0.000


Record 18
The following is a DFT calculation (GGA-PBE) of an optimized crystal structure of Na2LiHg3.

Cell: 6.012 6.012 9.372 Å, 101.06 101.06 113.70°
Fractional positions:
Hg  0.175  0.653  0.828
Hg  0.174  0.174  0.348
Hg  0.826  0.826  0.652
Hg  0.653  0.175  0.828
Hg  0.825  0.347  0.172
Hg  0.347  0.825  0.172
Li  0.333  0.333  0.666
Li  0.667  0.667  0.334
Na  0.756  0.756  0.000
Na  0.250  0.750  0.500
Na  0.244  0.244  0.000
Na  0.750  0.250  0.500

Output
Crystal system: orthorhombic
Spin magnetization (μB/f.u.): 0.000


Record 19
The following is a DFT calculation (GGA-PBE) of an optimized crystal structure of Na14LiHg.

Cell: 7.204 7.204 10.376 Å, 90.00 90.00 90.52°
Fractional positions:
Na  0.125  0.375  0.500
Na  0.871  0.129  0.728
Na  0.625  0.875  0.500
Na  0.380  0.129  0.728
Na  0.380  0.620  0.271
Na  0.125  0.375  0.000
Na  0.871  0.620  0.728
Na  0.125  0.875  0.000
Na  0.871  0.620  0.272
Na  0.380  0.129  0.272
Na  0.625  0.375  0.000
Na  0.871  0.129  0.272
Na  0.625  0.875  0.000
Na  0.380  0.620  0.729
Hg  0.625  0.375  0.500
Li  0.125  0.875  0.500

Output
Crystal system: orthorhombic
Spin magnetization (μB/f.u.): 0.000


Record 20
The following is a DFT calculation (GGA-PBE) of an optimized crystal structure of NaLi8Hg2.

Cell: 5.177 7.480 7.480 Å, 117.18 77.36 77.36°
Fractional positions:
Li  0.881  0.084  0.328
Li  0.119  0.672  0.916
Li  0.304  0.418  0.418
Li  0.881  0.328  0.084
Li  0.696  0.582  0.582
Li  0.500  0.239  0.761
Li  0.119  0.916  0.672
Li  0.500  0.761  0.239
Hg  0.000  0.688  0.312
Hg  0.000  0.312  0.688
Na  0.500  0.000  0.000

Output
Crystal system: monoclinic
Spin magnetization (μB/f.u.): 0.000


Record 21
The following is a DFT calculation (GGA-PBE) of an optimized crystal structure of NaLi3Hg.

Cell: 5.161 5.161 5.161 Å, 90.00 90.00 90.00°
Fractional positions:
Na  0.500  0.500  0.500
Li  0.000  0.000  0.500
Li  0.500  0.000  0.000
Li  0.000  0.500  0.000
Hg  0.000  0.000  0.000

Output
Crystal system: cubic
Spin magnetization (μB/f.u.): 0.000


no.,energy relative to the elements (eV/atom),electronic total energy (eV/atom)
1,-0.188,-1.160
2,-0.207,-1.534
3,-0.055,-1.322
4,-0.239,-1.389
5,-0.195,-1.114
6,-0.254,-1.386
7,-0.156,-0.875
8,-0.100,-1.335
9,-0.240,-1.169
10,-0.112,-1.131
11,-0.218,-1.250
12,-0.089,-1.120
13,0.085,-1.150
14,-0.133,-0.788
15,-0.099,-1.461
16,-0.124,-1.670
17,-0.091,-1.270
18,-0.236,-1.146
19,-0.020,-1.312
20,-0.121,-1.687
21,-0.035,-1.508